{
  "formula": "CrCdNi2",
  "functional": "GGA-PBEsol",
  "state": "optimized geometry",
  "delta_e_f_ev_per_fu": 0.507,
  "lattice": [[2.883, 0.000, 0.000], [0.000, 2.883, 0.000], [0.000, 0.000, 6.225]],
  "species": ["Cd", "Cr", "Ni", "Ni"],
  "frac_coords": [[0.500, 0.500, 0.000], [0.500, 0.500, 0.500], [0.000, 0.000, 0.709], [0.000, 0.000, 0.291]]
}